# 1
Material: AcPmNiI
Method: DFT, PBE
State: relaxed

Computed properties:
E, eV per atom: -4.7245
Formation energy without anion corrections, eV per atom: -0.677
Size of the total moment, μB/atom: 0.00
ρ, g/cm3: 7.190
Density of states at the Fermi level, states/eV per atom: 0.8349
V, Å³/cell: 386.4

a b c (Å): 4.2262 4.2262 24.9812
angles (deg): 90.00 90.00 120.00
Space group R3m (No. 160, hexagonal axes)
Asymmetric unit:
Ac 0.0000 0.0000 0.0000
Pm 0.0000 0.0000 0.2119
Ni 0.0000 0.0000 0.6023
I 0.0000 0.0000 0.7794

# 2
Material: FeCoI2
Method: DFT, PBE
State: relaxed

Computed properties:
E, eV per atom: -3.5019
Formation energy without anion corrections, eV per atom: 1.165
Size of the total moment, μB/atom: 0.00
Distance to the lowest polymorph of the same formula, meV/atom: 517.8
ρ, g/cm3: 8.441
Density of states at the Fermi level, states/eV per atom: 2.8118
V, Å³/cell: 290.1

a b c (Å): 6.620 6.620 6.620
angles (deg): 90.00 90.00 90.00
Space group Fm-3m (No. 225)
Asymmetric unit:
Fe 0.000 0.000 0.000
Co 0.000 0.000 0.500
I 0.250 0.250 0.250

# 3
Material: RbPaBiSe4
Method: DFT, PBE
State: relaxed

Computed properties:
E, eV per atom: -5.0356
Formation energy without anion corrections, eV per atom: -0.995
Size of the total moment, μB/atom: 0.08
ρ, g/cm3: 5.813
Density of states at the Fermi level, states/eV per atom: 0.7198
V, Å³/cell: 961.4

a b c (Å): 8.826 10.144 10.738
angles (deg): 90.00 90.00 90.00
Space group Imma (No. 74)
Asymmetric unit:
Rb 0.000 0.250 0.192
Pa 0.250 0.250 0.750
Bi 0.000 0.000 0.500
Se 0.000 0.071 0.771
Se 0.202 0.250 0.494

# 4
Material: Rb2YCl6F
Method: DFT, PBE
State: relaxed

Computed properties:
E, eV per atom: -3.7610
Formation energy without anion corrections, eV per atom: -1.626
Size of the total moment, μB/atom: 0.00
ρ, g/cm3: 2.661
Density of states at the Fermi level, states/eV per atom: 0.0000
V, Å³/cell: 613.5

a b c (Å): 8.213 8.213 9.094
angles (deg): 90.00 90.00 90.00
Space group I4/mmm (No. 139)
Asymmetric unit:
Rb 0.000 0.500 0.250
Y 0.000 0.000 0.000
Cl 0.000 0.000 0.286
Cl 0.225 0.225 0.000
F 0.000 0.000 0.500